Density functional theory data (GGA-PBE) for a relaxed structure of PrTmMgPd.

Properties
The space group is F-43m, No. 216. Its total energy is -4.37 eV/atom.

a = 5.206 Å, b = 5.206 Å, c = 5.206 Å
α = 60.00°, β = 60.00°, γ = 60.00°
Sites, in units of the cell vectors:
Pr 0.000 0.000 0.000
Tm 0.500 0.500 0.500
Mg 0.750 0.750 0.750
Pd 0.250 0.250 0.250